Crystalline Tl4HgS2 at its relaxed geometry, computed with PBE-GGA.

Cell and atoms, written as extended XYZ:
```
7
Lattice="4.0196 0.0000 -1.0493 -0.7978 6.4878 -3.0560 0.3087 0.0142 9.4056" Properties=species:S:1:pos:R:3 pbc="T T T"
Tl 1.9248 6.0923 -0.8503
Hg 0.0000 0.0000 0.0000
S 0.8988 1.5385 3.4427
S 2.6317 4.9634 1.8576
Tl 3.2259 3.2387 4.1337
Tl 1.6057 0.4097 6.1506
Tl 0.3046 3.2633 1.1666
```

* density: 7.3 g/cm³
* calculated total energy: -0.2097 Ry/atom
* E_form (uncorrected): -0.278 eV per atom

***

Crystalline LaNbH3 at its relaxed geometry, computed with PBE-GGA.

Cell and atoms, written as extended XYZ:
```
5
Lattice="4.1669 0.0000 0.0000 0.0000 4.1669 0.0000 0.0000 0.0000 4.1669" Properties=species:S:1:pos:R:3 pbc="T T T"
H 0.0000 2.0834 0.0000
La 0.0000 0.0000 0.0000
Nb 2.0834 2.0834 2.0834
H 2.0834 0.0000 0.0000
H 0.0000 0.0000 2.0834
```

* density: 5.4 g/cm³
* calculated total energy: -0.3168 Ry/atom
* energy above the lowest structure with this stoichiometry: 0.980 eV per atom
* D(E_F): 4.0 states/eV per cell